Entry 1:
First-principles (GGA-PBE) data for a geometry-optimized BaHoMg structure, as listed in OQMD.

Cell and atoms, written as extended XYZ:
```
3
Lattice="-5.273 1.167 1.686 -1.933 5.312 -0.232 -3.939 1.413 -3.807" Properties=species:S:1:pos:R:3 pbc="T T T"
Mg 0.000 0.000 0.000
Ho -8.359 5.919 -1.765
Ba -2.786 1.973 -0.588
```

Entry 2:
First-principles (GGA-PBE) data for a geometry-optimized BaHoMgSb2 structure, as listed in OQMD.

Cell and atoms, written as extended XYZ:
```
10
Lattice="2.411 -9.378 0.000 2.411 9.378 0.000 0.000 0.000 7.143" Properties=species:S:1:pos:R:3 pbc="T T T"
Sb 2.411 1.079 0.017
Sb 2.411 6.364 0.081
Sb 2.411 -6.364 3.653
Sb 2.411 -1.079 3.589
Ba 2.411 -5.684 0.100
Ba 2.411 5.684 3.672
Mg 2.411 -1.800 6.449
Mg 2.411 1.800 2.877
Ho 2.411 -9.100 5.182
Ho 2.411 9.100 1.610
```

Entry 3:
First-principles (GGA-PBE) data for a geometry-optimized BaHoMgSe3 structure, as listed in OQMD.

Cell and atoms, written as extended XYZ:
```
12
Lattice="2.107 -7.266 0.000 2.107 7.266 0.000 0.000 0.000 10.818" Properties=species:S:1:pos:R:3 pbc="T T T"
Mg 2.107 0.462 8.114
Mg 2.107 -0.462 2.705
Se 2.107 1.953 10.174
Se 2.107 6.226 8.114
Se 2.107 1.953 6.054
Se 2.107 -1.953 0.645
Se 2.107 -6.226 2.705
Se 2.107 -1.953 4.764
Ho 0.000 0.000 5.409
Ho 0.000 0.000 0.000
Ba 2.107 3.624 2.705
Ba 2.107 -3.624 8.114
```

Entry 4:
First-principles (GGA-PBE) data for a geometry-optimized BaHoMgTe3 structure, as listed in OQMD.

Cell and atoms, written as extended XYZ:
```
12
Lattice="2.245 -7.800 0.000 2.245 7.800 0.000 0.000 0.000 11.483" Properties=species:S:1:pos:R:3 pbc="T T T"
Ho 2.245 0.000 0.000
Ho 2.245 0.000 5.741
Mg 2.245 7.347 8.612
Mg 2.245 -7.347 2.871
Te 2.245 5.693 6.374
Te 2.245 -5.693 0.633
Te 2.245 -5.693 5.108
Te 2.245 5.693 10.850
Te 2.245 1.258 8.612
Te 2.245 -1.258 2.871
Ba 2.245 3.760 2.871
Ba 2.245 -3.760 8.612
```

Entry 5:
3
Lattice="0.713 -5.109 0.129 -3.845 -3.176 -1.327 0.270 -2.679 -4.402" Properties=species:S:1:pos:R:3 comment="BaHoMo, relaxed, DFT GGA-PBE" relative_energy_kj_per_mol_atoms=54.9 pbc="T T T"
Ho -0.716 -2.741 -1.400
Ba 0.000 0.000 0.000
Mo -2.147 -8.223 -4.200

Entry 6:
3
Lattice="-2.355 -1.859 4.161 -3.280 2.946 2.622 -5.028 -1.011 -0.135" Properties=species:S:1:pos:R:3 comment="BaHoMo, relaxed, DFT GGA-PBE" relative_energy_kj_per_mol_atoms=0.0 pbc="T T T"
Ba -2.666 0.019 1.662
Mo 0.000 0.000 0.000
Ho -7.997 0.057 4.986

Entry 7:
First-principles (GGA-PBE) data for a geometry-optimized Ba2HoOsN6 structure, as listed in OQMD.

Cell and atoms, written as extended XYZ:
```
10
Lattice="5.959 -0.722 -0.232 0.647 3.899 4.524 -3.581 -4.780 0.645" Properties=species:S:1:pos:R:3 pbc="T T T"
N -0.152 -1.725 1.511
N 2.083 2.648 3.239
N 1.786 0.859 1.160
N 4.821 2.319 3.132
N 0.942 -4.250 1.697
N 3.177 0.122 3.426
Ho 0.000 0.000 0.000
Ba 2.841 -1.956 1.279
Ba 0.185 0.354 3.657
Os 3.303 1.589 2.146
```

Entry 8:
First-principles (GGA-PBE) data for a geometry-optimized Ba2HoOsN6 structure, as listed in OQMD.

Cell and atoms, written as extended XYZ:
```
10
Lattice="6.006 0.000 0.000 3.002 5.204 0.000 3.002 1.734 4.908" Properties=species:S:1:pos:R:3 pbc="T T T"
N 4.503 4.192 1.129
N 7.508 2.746 3.778
N 3.122 1.805 1.121
N 8.889 5.132 3.787
N 6.130 5.133 3.779
N 5.880 1.805 1.128
Ho 1.501 0.867 2.454
Ba 4.501 2.600 3.683
Ba 7.509 4.337 1.224
Os 4.504 2.602 0.000
```

Entry 9:
First-principles (GGA-PBE) data for a geometry-optimized BaNaHo structure, as listed in OQMD.

Cell and atoms, written as extended XYZ:
```
3
Lattice="0.000 4.093 4.093 4.093 0.000 4.093 4.093 4.093 0.000" Properties=species:S:1:pos:R:3 pbc="T T T"
Na 0.000 0.000 0.000
Ba 2.047 2.047 2.047
Ho 6.140 6.140 6.140
```

Entry 10:
First-principles (GGA-PBE) data for a geometry-optimized BaNaHoS3 structure, as listed in OQMD.

Cell and atoms, written as extended XYZ:
```
12
Lattice="2.121 -6.901 0.000 2.121 6.901 0.000 0.000 0.000 10.405" Properties=species:S:1:pos:R:3 pbc="T T T"
Ba 2.121 3.529 7.803
Ba 2.121 -3.529 2.601
S 2.121 5.105 4.735
S 2.121 1.050 2.601
S 2.121 -1.050 7.803
S 2.121 -5.105 9.937
S 2.121 -5.105 5.670
S 2.121 5.105 0.468
Na 2.121 -6.540 7.803
Na 2.121 6.540 2.601
Ho 2.121 0.000 5.202
Ho 2.121 0.000 0.000
```

Entry 11:
First-principles (GGA-PBE) data for a geometry-optimized BaNaHoS3 structure, as listed in OQMD.

Cell and atoms, written as extended XYZ:
```
24
Lattice="10.405 0.000 0.000 0.000 4.245 0.000 0.000 0.000 13.798" Properties=species:S:1:pos:R:3 pbc="T T T"
S 0.440 3.184 5.241
S 9.965 1.061 8.557
S 4.705 3.184 5.245
S 2.576 1.061 2.400
S 5.642 3.184 1.658
S 2.626 3.184 9.298
S 9.907 3.184 1.654
S 7.778 1.061 4.499
S 7.829 3.184 11.398
S 4.763 1.061 12.140
S 0.497 1.061 12.144
S 5.700 1.061 8.553
Ho 10.376 1.061 3.444
Ho 5.231 3.184 10.343
Ho 0.029 3.184 10.354
Ho 5.174 1.061 3.455
Ba 7.790 1.061 13.716
Ba 2.615 3.184 0.082
Ba 7.818 3.184 6.817
Ba 2.587 1.061 6.980
Na 7.774 3.184 3.089
Na 2.571 3.184 3.809
Na 7.834 1.061 9.988
Na 2.631 1.061 10.708
```

Entry 12:
First-principles (GGA-PBE) data for a geometry-optimized BaNaHoSe3 structure, as listed in OQMD.

Cell and atoms, written as extended XYZ:
```
24
Lattice="-8.125 7.177 -0.010 -2.087 -2.359 3.067 6.603 7.490 10.253" Properties=species:S:1:pos:R:3 pbc="T T T"
Se 0.857 5.034 9.180
Se -1.444 2.506 2.520
Se -4.467 7.274 4.130
Se 4.965 6.328 9.820
Se -5.245 3.036 3.492
Se 0.577 1.444 6.230
Se 1.635 9.272 9.819
Se -2.166 9.802 10.790
Se -4.187 10.864 7.081
Se -0.854 7.923 7.087
Se -8.575 5.980 3.490
Se -2.756 4.385 6.223
Na 2.598 7.001 8.727
Na -1.816 10.191 8.176
Na -6.208 5.307 4.583
Na -1.794 2.117 5.134
Ba -3.564 0.035 2.327
Ba -0.046 12.273 10.983
Ba 0.754 4.983 5.920
Ba -4.364 7.325 7.390
Ho -2.960 4.890 3.322
Ho 1.107 1.306 3.333
Ho -4.717 11.002 9.977
Ho -0.650 7.418 9.989
```

Entry 13:
First-principles (GGA-PBE) data for a geometry-optimized BaNaHoSe3 structure, as listed in OQMD.

Cell and atoms, written as extended XYZ:
```
12
Lattice="2.783 6.938 0.312 -4.127 -4.843 -3.936 -8.892 3.331 5.225" Properties=species:S:1:pos:R:3 pbc="T T T"
Se -6.630 8.547 4.735
Se -7.250 -1.756 -0.992
Se -6.797 4.474 2.441
Se -2.986 7.182 2.593
Se -3.606 -3.121 -3.134
Se -3.439 0.953 -0.840
Ho -5.118 2.713 0.801
Ho -0.672 1.048 -1.812
Na -4.073 9.119 4.116
Na -6.164 -3.693 -2.515
Ba -9.089 0.565 1.032
Ba -1.147 4.861 0.569
```

Entry 14:
First-principles (GGA-PBE) data for a geometry-optimized BaNaHoTe3 structure, as listed in OQMD.

Cell and atoms, written as extended XYZ:
```
24
Lattice="-0.790 10.279 -5.247 0.921 -2.022 -4.099 -14.869 -2.277 -2.220" Properties=species:S:1:pos:R:3 pbc="T T T"
Ba -7.370 0.945 -3.448
Ba -14.342 -1.232 -6.593
Ba -7.369 5.036 -8.117
Ba -0.397 7.213 -4.972
Na -11.533 0.266 -4.049
Na -3.205 5.715 -7.516
Na -3.642 0.448 -5.017
Na -11.096 5.533 -6.549
Te -5.108 -1.929 -4.174
Te -12.994 -2.106 -3.208
Te -9.309 3.658 -5.223
Te -5.429 2.322 -6.343
Te -2.458 1.711 -2.722
Te -9.631 7.909 -7.391
Te -9.428 -0.494 -5.853
Te -1.745 8.086 -8.358
Te -5.311 6.474 -5.713
Te -13.326 2.144 -5.379
Te -1.412 3.837 -6.187
Te -12.280 4.270 -8.843
Ho -10.857 1.885 -7.347
Ho -3.492 -1.044 -1.596
Ho -3.882 4.096 -4.218
Ho -11.246 7.025 -9.970
```

Entry 15:
First-principles (GGA-PBE) data for a geometry-optimized BaNaHoTe3 structure, as listed in OQMD.

Cell and atoms, written as extended XYZ:
```
12
Lattice="-6.579 4.017 -1.949 3.099 -7.113 1.739 -2.245 1.763 11.211" Properties=species:S:1:pos:R:3 pbc="T T T"
Ba -5.820 2.530 7.390
Ba 0.094 -3.862 3.611
Ho -2.863 -0.666 5.500
Ho -1.740 -1.548 -0.105
Te -2.625 -1.144 8.608
Te -6.276 3.294 3.681
Te 0.550 -4.627 7.320
Te -5.346 2.564 -0.961
Te -0.379 -3.897 11.962
Te -3.100 -0.188 2.393
Na -6.868 4.145 0.957
Na 1.142 -5.477 10.044
```

Entry 16:
First-principles (GGA-PBE) data for a geometry-optimized BaNdHo structure, as listed in OQMD.

Cell and atoms, written as extended XYZ:
```
3
Lattice="3.627 -2.751 3.698 -0.616 -5.750 0.978 3.989 -3.770 -2.067" Properties=species:S:1:pos:R:3 pbc="T T T"
Ho 0.000 0.000 0.000
Ba 1.750 -3.068 0.652
Nd 5.250 -9.204 1.957
```

Entry 17:
3
Lattice="3.267 0.502 3.655 4.485 -2.001 -0.412 3.943 2.894 -0.600" Properties=species:S:1:pos:R:3 comment="BaHoNi, relaxed, DFT GGA-PBE" relative_energy_kj_per_mol_atoms=0.0 pbc="T T T"
Ba 8.771 1.046 1.982
Ho 0.000 0.000 0.000
Ni 2.924 0.349 0.661

Entry 18:
3
Lattice="0.000 3.491 3.491 3.491 0.000 3.491 3.491 3.491 0.000" Properties=species:S:1:pos:R:3 comment="BaHoNi, relaxed, DFT GGA-PBE" relative_energy_kj_per_mol_atoms=24.7 pbc="T T T"
Ba 0.000 0.000 0.000
Ho 1.745 1.745 1.745
Ni 5.236 5.236 5.236

Entry 19:
First-principles (GGA-PBE) data for a geometry-optimized BaHoNp structure, as listed in OQMD.

Cell and atoms, written as extended XYZ:
```
3
Lattice="1.777 -5.441 -0.184 5.108 -1.419 2.165 0.313 -3.074 4.821" Properties=species:S:1:pos:R:3 pbc="T T T"
Ba 5.399 -7.450 5.102
Np 1.800 -2.483 1.701
Ho 0.000 0.000 0.000
```

Entry 20:
28
Lattice="10.362 0.000 0.000 0.000 3.441 0.000 0.000 0.000 12.049" Properties=species:S:1:pos:R:3 comment="BaHo2O4, relaxed, DFT GGA-PBE" relative_energy_kj_per_mol_atoms=0.0 pbc="T T T"
O 5.369 0.860 9.426
O 4.460 0.860 5.128
O 9.641 0.860 0.897
O 1.201 0.860 5.813
O 0.721 2.581 11.152
O 8.184 2.581 10.136
O 9.161 2.581 6.236
O 10.174 2.581 3.401
O 7.360 0.860 4.112
O 3.003 2.581 7.937
O 3.980 2.581 11.838
O 6.383 0.860 0.211
O 0.188 0.860 8.648
O 5.903 2.581 6.921
O 4.993 2.581 2.624
O 2.179 0.860 1.913
Ho 9.562 0.860 4.709
Ho 4.381 0.860 1.315
Ho 0.800 2.581 7.340
Ho 5.957 2.581 4.691
Ho 4.405 0.860 7.358
Ho 9.586 0.860 10.716
Ho 0.776 2.581 1.333
Ho 5.982 2.581 10.734
Ba 7.742 2.581 1.801
Ba 2.620 0.860 10.248
Ba 2.561 2.581 4.223
Ba 7.802 0.860 7.826

no.,VASP energy (eV per cell)
1,-6.71
2,-41.07
3,-55.82
4,-49.70
5,-12.20
6,-13.91
7,-70.05
8,-70.05
9,-5.84
10,-61.51
11,-123.02
12,-113.18
13,-56.59
14,-101.40
15,-50.71
16,-8.91
17,-9.95
18,-9.18
19,-15.26
20,-215.94